A plane-wave DFT calculation with PBE+U was carried out for a relaxed CaMnO2 crystal.

Structure (POSCAR):
```
CaMnO2
1.0
3.210 0.000 0.000
0.000 5.720 0.000
0.000 0.000 11.384
Ca Mn O
4 4 8
Cartesian
0.802 0.001 1.529 Ca
2.407 5.719 9.855 Ca
2.407 2.860 4.163 Ca
0.802 2.859 7.221 Ca
0.802 2.832 1.281 Mn
2.407 2.888 10.104 Mn
2.407 5.692 4.412 Mn
0.802 0.028 6.973 Mn
2.407 1.585 2.233 O
0.802 4.134 9.152 O
0.802 4.445 3.460 O
2.407 1.274 7.925 O
2.407 4.214 0.533 O
0.802 1.506 10.851 O
2.407 4.365 6.226 O
0.802 1.354 5.159 O
```

Values from the calculation:
As for the crystal system: orthorhombic. The calculated total energy is -111.9 eV per cell. The density of states at the Fermi level comes out at 0.00 states/eV per cell. The magnetic moment comes out at 1.25 μB per atom.